No. 1
# MgZn2Ag

A relaxed MgZn2Ag crystal (PBE, Alexandria via LeMat-Bulk).

abc: 5.9739 5.9739 5.9739
angles: 102.14 102.14 125.40
Last column: nearest neighbours and their distance in Å.
Element x y z (fractional)
1 Mg 0.0000 0.0000 0.0000  2 Ag 2.74, 4 Zn 2.84
2 Mg 0.7500 0.2500 0.5000  2 Ag 2.74, 4 Zn 2.84
3 Zn 0.1438 0.6250 0.0188  2 Ag 2.65, 2 Zn 2.75, 2 Mg 2.84
4 Zn 0.3750 0.3938 0.5188  2 Ag 2.65, 2 Zn 2.75, 2 Mg 2.84
5 Zn 0.6062 0.1250 0.9812  2 Ag 2.65, 2 Zn 2.75, 2 Mg 2.84
6 Zn 0.8750 0.8562 0.4812  2 Ag 2.65, 2 Zn 2.75, 2 Mg 2.84
7 Ag 0.2500 0.7500 0.5000  4 Zn 2.65, 2 Mg 2.74
8 Ag 0.5000 0.5000 0.0000  4 Zn 2.65, 2 Mg 2.74

Computed properties:
Magnetization ... 0.0 μB per cell
Uncorrected energy ... -12.9 eV per cell
Formation energy from the elements ... 0.131 eV/atom
SG ... I-42d, No. 122

No. 2
# MgZn6Ag4

A relaxed MgZn6Ag4 crystal (PBE, Alexandria via LeMat-Bulk).

abc: 6.7566 6.7566 6.7566
angles: 118.59 118.59 92.47
Last column: nearest neighbours and their distance in Å.
Element x y z (fractional)
1 Mg 0.0000 0.0000 0.0000  4 Zn 2.96, 4 Ag 3.06
2 Zn 0.0000 0.5000 0.5000  4 Ag 2.58
3 Zn 0.1360 0.1360 0.7129  4 Ag 2.57-2.76, 1 Zn 2.80
4 Zn 0.4231 0.4231 0.2871  4 Ag 2.57-2.76, 1 Zn 2.80
5 Zn 0.5000 0.0000 0.5000  4 Ag 2.58
6 Zn 0.5769 0.8640 0.0000  4 Ag 2.57-2.76, 1 Zn 2.80
7 Zn 0.8640 0.5769 0.0000  4 Ag 2.57-2.76, 1 Zn 2.80
8 Ag 0.2431 0.6276 0.0000  6 Zn 2.57-2.76
9 Ag 0.3724 0.3724 0.6155  6 Zn 2.57-2.76
10 Ag 0.6276 0.2431 0.0000  6 Zn 2.57-2.76
11 Ag 0.7569 0.7569 0.3845  6 Zn 2.57-2.76

Computed properties:
Magnetization ... 0.0 μB per cell
Uncorrected energy ... -19.2 eV per cell
Formation energy from the elements ... 0.129 eV/atom
SG ... I-42m, No. 121

No. 3
# Mg3Zn2Ag3

A relaxed Mg3Zn2Ag3 crystal (PBE, Alexandria via LeMat-Bulk).

abc: 9.0802 9.0802 4.1285
angles: 103.01 103.01 25.23
Last column: nearest neighbours and their distance in Å.
Element x y z (fractional)
1 Mg 0.0000 0.0000 0.0000  8 Ag 2.86-3.04, 4 Mg 3.04-3.05
2 Mg 0.1298 0.1298 0.6293  6 Ag 2.86-2.99, 4 Zn 2.88-2.92, 2 Mg 3.04-3.05
3 Mg 0.8702 0.8702 0.3707  6 Ag 2.86-2.99, 4 Zn 2.88-2.92, 2 Mg 3.04-3.05
4 Zn 0.2487 0.2487 0.2490  4 Ag 2.81-2.90, 4 Zn 2.86, 4 Mg 2.88-2.92
5 Zn 0.7513 0.7513 0.7510  4 Ag 2.81-2.90, 4 Zn 2.86, 4 Mg 2.88-2.92
6 Ag 0.3664 0.3664 0.8671  4 Zn 2.81-2.90, 6 Mg 2.86-3.04, 2 Ag 3.09
7 Ag 0.5000 0.5000 0.5000  8 Mg 2.86-2.99, 4 Ag 3.09
8 Ag 0.6336 0.6336 0.1329  4 Zn 2.81-2.90, 6 Mg 2.86-3.04, 2 Ag 3.09

Computed properties:
Magnetization ... 0.0 μB per cell
Uncorrected energy ... -17.1 eV per cell
Formation energy from the elements ... -0.148 eV/atom
SG ... C2/m, No. 12